[1]
Density functional theory data (PBE) for a relaxed CdH9C5S3N2Cl crystal. Values from VASP.

Summary:
As for the space group: No. 2. The total energy is -5.29 eV/atom.

```
&SYSTEM
  ibrav = 0, nat = 42, ntyp = 6
/
ATOMIC_SPECIES
C 12.01 C.upf
N 14.01 N.upf
S 32.06 S.upf
H 1.01 H.upf
Cl 35.45 Cl.upf
Cd 112.41 Cd.upf
CELL_PARAMETERS angstrom
-5.3325 4.8061 3.6472
4.1172 -3.0266 7.1934
5.8858 5.5687 -4.0655
ATOMIC_POSITIONS crystal
C 0.8228 0.4607 0.3400
C 0.4726 0.8715 0.3161
C 0.3678 0.3109 0.3455
C 0.6322 0.6891 0.6545
C 0.5920 0.7516 0.9568
C 0.0807 0.2739 0.0801
C 0.5274 0.1285 0.6839
C 0.9193 0.7261 0.9199
C 0.4080 0.2484 0.0432
C 0.1772 0.5393 0.6600
N 0.5933 0.9835 0.3524
N 0.4067 0.0165 0.6476
N 0.8098 0.3456 0.3830
N 0.1902 0.6544 0.6170
S 0.8303 0.6156 0.2751
S 0.1697 0.3844 0.7249
S 0.3041 0.7176 0.2600
S 0.7405 0.8188 0.8591
S 0.2595 0.1812 0.1409
S 0.6959 0.2824 0.7400
H 0.4317 0.3803 0.0715
H 0.3880 0.4373 0.3471
H 0.9960 0.2616 0.1550
H 0.5318 0.2131 0.0893
H 0.7183 0.7141 0.5842
H 0.3462 0.1850 0.9128
H 0.1352 0.4013 0.0982
H 0.6120 0.5627 0.6529
H 0.8648 0.5987 0.9018
H 0.2817 0.2859 0.4158
H 0.0040 0.7384 0.8450
H 0.4682 0.7869 0.9107
H 0.6538 0.8150 0.0872
H 0.5057 0.7214 0.6120
H 0.4943 0.2786 0.3880
H 0.0084 0.2073 0.9518
H 0.5683 0.6197 0.9285
H 0.9916 0.7927 0.0482
Cl 0.9918 0.9849 0.6931
Cl 0.0082 0.0151 0.3069
Cd 0.8591 0.1621 0.5165
Cd 0.1409 0.8379 0.4835
```

---

[2]
Density functional theory data (PBE) for a relaxed RbBaPrSe3 crystal. Values from VASP.

Summary:
As for the space group: No. 62. As for the magnetic moment: 0.000 μB per atom. The total energy is -4.65 eV/atom.

```
&SYSTEM
  ibrav = 0, nat = 24, ntyp = 4
/
ATOMIC_SPECIES
Se 78.96 Se.upf
Ba 137.33 Ba.upf
Rb 85.47 Rb.upf
Pr 140.91 Pr.upf
CELL_PARAMETERS angstrom
16.8089 0.0000 0.0000
0.0000 4.4111 0.0000
0.0000 0.0000 11.3997
ATOMIC_POSITIONS crystal
Se 0.9536 0.7500 0.6113
Se 0.4536 0.7500 0.8887
Se 0.7429 0.2500 0.8624
Se 0.5464 0.2500 0.1113
Se 0.2571 0.7500 0.1376
Se 0.7571 0.7500 0.3624
Se 0.0464 0.2500 0.3887
Se 0.4274 0.2500 0.3645
Se 0.9274 0.2500 0.1355
Se 0.2429 0.2500 0.6376
Se 0.0726 0.7500 0.8645
Se 0.5726 0.7500 0.6355
Ba 0.3855 0.7500 0.5756
Ba 0.6145 0.2500 0.4244
Ba 0.8855 0.7500 0.9244
Ba 0.1145 0.2500 0.0756
Rb 0.2653 0.7500 0.8530
Rb 0.7347 0.2500 0.1470
Rb 0.2347 0.2500 0.3530
Rb 0.7653 0.7500 0.6470
Pr 0.9330 0.7500 0.3435
Pr 0.4330 0.7500 0.1565
Pr 0.0670 0.2500 0.6565
Pr 0.5670 0.2500 0.8435
```